! Hg3WF GGA+U optimized geometry; values from VASP
&SYSTEM
  ibrav = 0, nat = 5, ntyp = 3
/
ATOMIC_SPECIES
Hg 200.59 Hg.upf
W 183.84 W.upf
F 19.00 F.upf
CELL_PARAMETERS angstrom
5.6645 0.0000 0.0000
0.0000 5.6645 0.0000
0.0000 0.0000 5.6645
ATOMIC_POSITIONS crystal
Hg 0.0000 0.5000 0.0000
Hg 0.5000 0.0000 0.0000
Hg 0.0000 0.0000 0.5000
W 0.0000 0.0000 0.0000
F 0.5000 0.5000 0.5000
! final energy	-1.635	eV/atom
! space-group type	Pm-3m
! crystal system	cubic